Material: ZrZn2H
Method: DFT, PBE
State: optimized geometry

Structure (POSCAR):
```
ZrZn2H
1.0
-2.7591 2.7591 3.8122
2.7591 -2.7591 3.8122
2.7591 2.7591 -3.8122
Zr Zn H
2 4 2
direct
0.0000 0.0000 0.0000
0.7500 0.2500 0.5000
0.3160 0.6250 0.1910
0.3750 0.5660 0.6910
0.4340 0.1250 0.8090
0.8750 0.6840 0.3090
0.2500 0.7500 0.5000
0.5000 0.5000 0.0000
```

Computed properties:
Calculated total energy, eV/atom: -3.379